(1)
# ReRuPt

A relaxed ReRuPt crystal (GGA-PBEsol, Alexandria).

a = 2.699 Å, b = 3.852 Å, c = 4.722 Å
α = 114.07°, β = 106.61°, γ = 90.00°
Sites, in units of the cell vectors:
Re1 0.673 0.673 0.345
Pt1 0.000 0.000 0.000
Ru1 0.327 0.327 0.654

ΔE_f = -0.07 eV/atom
electronic total energy = -10.23 eV per atom
energy above the lowest structure with this stoichiometry = 4 meV per atom
total magnetic moment = 0.00 μB/cell

(2)
# ReRuPt

A relaxed ReRuPt crystal (GGA-PBEsol, Alexandria).

a = 4.148 Å, b = 4.148 Å, c = 4.148 Å
α = 60.00°, β = 60.00°, γ = 60.00°
Sites, in units of the cell vectors:
Pt1 0.000 0.000 0.000
Ru1 0.250 0.250 0.250
Re1 0.500 0.500 0.500

ΔE_f = 0.72 eV/atom
electronic total energy = -9.43 eV per atom
energy above the lowest structure with this stoichiometry = 801 meV per atom
total magnetic moment = 0.00 μB/cell

(3)
# ReRuPt

A relaxed ReRuPt crystal (GGA-PBEsol, Alexandria).

a = 2.720 Å, b = 2.720 Å, c = 6.703 Å
α = 90.00°, β = 90.00°, γ = 120.00°
Sites, in units of the cell vectors:
Ru1 0.667 0.333 0.346
Pt1 0.000 0.000 0.999
Re1 0.333 0.667 0.655

ΔE_f = -0.06 eV/atom
electronic total energy = -10.21 eV per atom
energy above the lowest structure with this stoichiometry = 21 meV per atom
total magnetic moment = 0.00 μB/cell

(4)
# ReRuPt2

A relaxed ReRuPt2 crystal (GGA-PBEsol, Alexandria).

a = 2.722 Å, b = 2.722 Å, c = 9.145 Å
α = 81.44°, β = 81.44°, γ = 60.00°
Sites, in units of the cell vectors:
Pt1 0.998 0.998 0.006
Pt2 0.752 0.752 0.743
Re1 0.503 0.503 0.491
Ru1 0.247 0.247 0.260

ΔE_f = -0.07 eV/atom
electronic total energy = -9.43 eV per atom
energy above the lowest structure with this stoichiometry = 30 meV per atom
total magnetic moment = 0.00 μB/cell

(5)
# ReRuPt2

A relaxed ReRuPt2 crystal (GGA-PBEsol, Alexandria).

a = 3.868 Å, b = 3.868 Å, c = 4.707 Å
α = 114.26°, β = 114.26°, γ = 90.00°
Sites, in units of the cell vectors:
Ru1 0.250 0.750 0.500
Pt1 0.000 0.000 0.000
Pt2 0.750 0.250 0.500
Re1 0.500 0.500 0.000

ΔE_f = -0.04 eV/atom
electronic total energy = -9.40 eV per atom
energy above the lowest structure with this stoichiometry = 58 meV per atom
total magnetic moment = 0.00 μB/cell

(6)
# ReRuPt2

A relaxed ReRuPt2 crystal (GGA-PBEsol, Alexandria).

a = 2.724 Å, b = 2.724 Å, c = 7.778 Å
α = 90.00°, β = 90.00°, γ = 90.00°
Sites, in units of the cell vectors:
Ru1 0.500 0.500 0.737
Pt1 0.000 0.000 0.992
Pt2 0.500 0.500 0.260
Re1 0.000 0.000 0.511

ΔE_f = -0.10 eV/atom
electronic total energy = -9.46 eV per atom
energy above the lowest structure with this stoichiometry = 0 meV per atom
total magnetic moment = 0.00 μB/cell

(7)
# ReRuPt

A relaxed ReRuPt crystal (GGA-PBEsol, Alexandria).

a = 2.725 Å, b = 2.725 Å, c = 6.087 Å
α = 102.93°, β = 102.93°, γ = 90.00°
Sites, in units of the cell vectors:
Re1 0.674 0.674 0.347
Pt1 0.002 0.002 0.004
Ru1 0.324 0.324 0.649

ΔE_f = -0.08 eV/atom
electronic total energy = -10.23 eV per atom
energy above the lowest structure with this stoichiometry = 0 meV per atom
total magnetic moment = 0.00 μB/cell

(8)
# SrRe2PtS

A relaxed SrRe2PtS crystal (GGA-PBEsol, Alexandria).

a = 4.781 Å, b = 4.781 Å, c = 5.020 Å
α = 90.00°, β = 90.00°, γ = 90.00°
Each line ends with the local moment (μB).
Sites, in units of the cell vectors:
Re1 0.500 0.000 0.000  0.87
Re2 0.000 0.500 0.000  0.87
Sr1 0.500 0.500 0.500  0.00
Pt1 0.000 0.000 0.000  -0.02
S1 0.000 0.000 0.500  0.05

electronic total energy = -6.53 eV per atom
E_form (uncorrected) = 1.4412 eV per atom
total magnetic moment = 2.11 μB/cell